Record 1
Crystalline NaMoP2 at its relaxed geometry, computed with GGA-PBE.

The value obtained for the magnetization is 0.0 μB per formula unit. The calculation puts the energy at -6.081 eV/atom. For the formation energy, the calculation gives -32.6 kJ per mole of atoms. Its energy relative to the lowest polymorph listed for this composition is 0.000 eV per atom. The theoretical density is 4.51 g/cm3.

a = 3.102 Å, b = 3.102 Å, c = 6.917 Å
α = 90.00°, β = 90.00°, γ = 90.00°
Sites, in units of the cell vectors:
Na1 0.000 0.000 0.000
Mo1 0.000 0.000 0.500
P1 0.500 0.500 0.307
P2 0.500 0.500 0.693

Record 2
Crystalline NaMo3P at its relaxed geometry, computed with GGA-PBE.

The value obtained for the magnetization is 4.0 μB per formula unit. The calculation puts the energy at -5.090 eV/atom. For the formation energy, the calculation gives 265.8 kJ per mole of atoms. Its energy relative to the lowest polymorph listed for this composition is 1.907 eV per atom. The theoretical density is 6.05 g/cm3.

a = 4.543 Å, b = 4.543 Å, c = 4.543 Å
α = 90.00°, β = 90.00°, γ = 90.00°
Sites, in units of the cell vectors:
Na1 0.000 0.000 0.000
Mo1 0.000 0.000 0.500
Mo2 0.000 0.500 0.000
Mo3 0.500 0.000 0.000
P1 0.500 0.500 0.500

Record 3
Crystalline Na2MoP2 at its relaxed geometry, computed with GGA-PBE.

The value obtained for the magnetization is 1.0 μB per formula unit. The calculation puts the energy at -4.948 eV/atom. For the formation energy, the calculation gives -8.7 kJ per mole of atoms. The theoretical density is 3.60 g/cm3.

a = 6.315 Å, b = 6.315 Å, c = 4.712 Å
α = 90.00°, β = 90.00°, γ = 90.00°
Sites, in units of the cell vectors:
Na1 0.176 0.324 0.000
Na2 0.324 0.824 0.000
Na3 0.676 0.176 0.000
Na4 0.824 0.676 0.000
Mo1 0.000 0.000 0.500
Mo2 0.500 0.500 0.500
P1 0.134 0.634 0.500
P2 0.366 0.134 0.500
P3 0.634 0.866 0.500
P4 0.866 0.366 0.500

Record 4
Crystalline NaMoP2 at its relaxed geometry, computed with GGA-PBE.

The value obtained for the magnetization is 0.0 μB per formula unit. The calculation puts the energy at -5.747 eV/atom. For the formation energy, the calculation gives -0.4 kJ per mole of atoms. Its energy relative to the lowest polymorph listed for this composition is 0.334 eV per atom. The theoretical density is 2.80 g/cm3.

a = 7.093 Å, b = 7.093 Å, c = 7.093 Å
α = 128.17°, β = 128.17°, γ = 76.35°
Sites, in units of the cell vectors:
Na1 0.000 0.000 0.000
Na2 0.750 0.250 0.500
Mo1 0.250 0.750 0.500
Mo2 0.500 0.500 0.000
P1 0.221 0.625 0.096
P2 0.375 0.471 0.596
P3 0.529 0.125 0.904
P4 0.875 0.779 0.404

Record 5
Crystalline NaMoP3 at its relaxed geometry, computed with GGA-PBE.

The value obtained for the magnetization is 0.0 μB per formula unit. The calculation puts the energy at -5.528 eV/atom. For the formation energy, the calculation gives 14.2 kJ per mole of atoms. Its energy relative to the lowest polymorph listed for this composition is 0.000 eV per atom. The theoretical density is 3.28 g/cm3.

a = 4.752 Å, b = 4.752 Å, c = 4.752 Å
α = 90.00°, β = 90.00°, γ = 90.00°
Sites, in units of the cell vectors:
Na1 0.000 0.000 0.000
Mo1 0.500 0.500 0.500
P1 0.000 0.500 0.500
P2 0.500 0.000 0.500
P3 0.500 0.500 0.000

Record 6
Crystalline NaMoP2 at its relaxed geometry, computed with GGA-PBE.

The value obtained for the magnetization is 1.7 μB per formula unit. The calculation puts the energy at -5.582 eV/atom. For the formation energy, the calculation gives 15.5 kJ per mole of atoms. Its energy relative to the lowest polymorph listed for this composition is 0.499 eV per atom. The theoretical density is 4.82 g/cm3.

a = 4.452 Å, b = 4.452 Å, c = 4.452 Å
α = 60.00°, β = 60.00°, γ = 60.00°
Sites, in units of the cell vectors:
Na1 0.000 0.000 0.000
Mo1 0.500 0.500 0.500
P1 0.250 0.250 0.250
P2 0.750 0.750 0.750

Record 7
Crystalline NaMo3P at its relaxed geometry, computed with GGA-PBE.

The value obtained for the magnetization is 0.0 μB per formula unit. The calculation puts the energy at -6.996 eV/atom. For the formation energy, the calculation gives 81.8 kJ per mole of atoms. Its energy relative to the lowest polymorph listed for this composition is 0.000 eV per atom. The theoretical density is 6.03 g/cm3.

a = 4.548 Å, b = 4.548 Å, c = 4.548 Å
α = 90.00°, β = 90.00°, γ = 90.00°
Sites, in units of the cell vectors:
Na1 0.000 0.000 0.000
Mo1 0.000 0.500 0.500
Mo2 0.500 0.000 0.500
Mo3 0.500 0.500 0.000
P1 0.500 0.500 0.500

Record 8
Crystalline NaMoP3 at its relaxed geometry, computed with GGA-PBE.

The value obtained for the magnetization is 0.0 μB per formula unit. The calculation puts the energy at -3.727 eV/atom. For the formation energy, the calculation gives 188.1 kJ per mole of atoms. Its energy relative to the lowest polymorph listed for this composition is 1.802 eV per atom. The theoretical density is 3.62 g/cm3.

a = 4.597 Å, b = 4.597 Å, c = 4.597 Å
α = 90.00°, β = 90.00°, γ = 90.00°
Sites, in units of the cell vectors:
Na1 0.000 0.000 0.000
Mo1 0.500 0.500 0.500
P1 0.000 0.000 0.500
P2 0.000 0.500 0.000
P3 0.500 0.000 0.000

Record 9
Crystalline Rb2NaMoP at its relaxed geometry, computed with GGA-PBE.

The value obtained for the magnetization is 6.0 μB per formula unit. The calculation puts the energy at -2.911 eV/atom. For the formation energy, the calculation gives 95.4 kJ per mole of atoms. The theoretical density is 2.22 g/cm3.

a = 6.641 Å, b = 6.641 Å, c = 5.452 Å
α = 90.00°, β = 90.00°, γ = 90.00°
Sites, in units of the cell vectors:
Rb1 0.000 0.500 0.000
Rb2 0.500 0.000 0.000
Na1 0.000 0.000 0.500
Mo1 0.500 0.500 0.500
P1 0.000 0.000 0.000

Record 10
Crystalline NaMoPRh2 at its relaxed geometry, computed with GGA-PBE.

The value obtained for the magnetization is 0.9 μB per formula unit. The calculation puts the energy at -5.006 eV/atom. For the formation energy, the calculation gives 139.6 kJ per mole of atoms. The theoretical density is 5.28 g/cm3.

a = 4.631 Å, b = 4.631 Å, c = 5.214 Å
α = 90.00°, β = 90.00°, γ = 90.00°
Sites, in units of the cell vectors:
Na1 0.000 0.000 0.000
Mo1 0.000 0.000 0.500
P1 0.500 0.500 0.000
Rh1 0.000 0.500 0.500
Rh2 0.500 0.000 0.500

Record 11
Crystalline NaMo2PS at its relaxed geometry, computed with GGA-PBE.

The value obtained for the magnetization is 0.2 μB per formula unit. The formation energy without anion corrections is 437 kJ/mol of formula units. The calculation puts the energy at -5.598 eV/atom. The theoretical density is 4.38 g/cm3.

a = 4.506 Å, b = 4.506 Å, c = 5.188 Å
α = 90.00°, β = 90.00°, γ = 90.00°
Sites, in units of the cell vectors:
Na1 0.000 0.000 0.000
Mo1 0.000 0.500 0.500
Mo2 0.500 0.000 0.500
P1 0.500 0.500 0.500
S1 0.500 0.500 0.000

Record 12
Crystalline NaMoP2S at its relaxed geometry, computed with GGA-PBE.

The value obtained for the magnetization is 0.0 μB per formula unit. The formation energy without anion corrections is 871 kJ/mol of formula units. The calculation puts the energy at -3.614 eV/atom. Its energy relative to the lowest polymorph listed for this composition is 1.811 eV per atom. The theoretical density is 3.56 g/cm3.

a = 4.637 Å, b = 4.637 Å, c = 4.623 Å
α = 90.00°, β = 90.00°, γ = 90.00°
Sites, in units of the cell vectors:
Na1 0.000 0.000 0.000
Mo1 0.500 0.500 0.500
P1 0.000 0.500 0.000
P2 0.500 0.000 0.000
S1 0.000 0.000 0.500